First-principles (PBE) data for a relaxed CaCr4Os crystal, as listed in Alexandria.

Geometry as POSCAR:
```
CaCr4Os
1.0
0.0000 3.4815 3.4815
3.4815 0.0000 3.4815
3.4815 3.4815 0.0000
Ca Cr Os
1 4 1
Direct
0.0000 0.0000 0.0000 Ca
0.1268 0.6244 0.6244 Cr
0.6244 0.1268 0.6244 Cr
0.6244 0.6244 0.1268 Cr
0.6244 0.6244 0.6244 Cr
0.2500 0.2500 0.2500 Os
```

Results
spin magnetization	0.0	μB per formula unit
DFT formation energy	0.455	eV/atom